(1)
Density functional theory data (PBE) for a relaxed RbGe2Br8 crystal.

The value obtained for the final energy is -2.8863 eV per atom. As for the magnetic moment: 0.0 μB/f.u.

It has space group C2/m (No. 12), with a = 14.2841 Å, b = 10.1931 Å, c = 7.6373 Å, α = 90.00°, β = 107.30° and γ = 90.00°. The asymmetric unit holds Rb at (0.0000, 0.0000, 0.0000), Ge at (0.2185, 0.0000, 0.6999), Br at (0.1137, 0.5000, 0.1123), Br at (0.1308, 0.1880, 0.7564) and Br at (0.2145, 0.0000, 0.3839).



(2)
Density functional theory data (PBE) for a relaxed Rb2GeBr3 crystal.

The value obtained for the final energy is -3.0442 eV per atom. As for the magnetic moment: 0.0 μB/f.u.

It has space group Immm (No. 71), with a = 4.3639 Å, b = 5.6067 Å, c = 18.1692 Å, α = 90.00°, β = 90.00° and γ = 90.00°. The asymmetric unit holds Rb at (0.0000, 0.0000, 0.1476), Ge at (0.0000, 0.0000, 0.5000), Br at (0.0000, 0.0000, 0.3410) and Br at (0.0000, 0.5000, 0.5000).



(3)
Density functional theory data (PBE) for a relaxed RbGe2Br7 crystal.

The value obtained for the final energy is -2.8321 eV per atom. As for the magnetic moment: 0.0 μB/f.u.

It has space group Cmmm (No. 65), with a = 8.2853 Å, b = 19.8151 Å, c = 4.4979 Å, α = 90.00°, β = 90.00° and γ = 90.00°. The asymmetric unit holds Rb at (0.0000, 0.0000, 0.0000), Ge at (0.0000, 0.3684, 0.5000), Br at (0.0000, 0.2995, 0.0000), Br at (0.0000, 0.5000, 0.5000) and Br at (0.1898, 0.1285, 0.5000).



(4)
Density functional theory data (PBE) for a relaxed Rb3GeBr6 crystal.

The value obtained for the final energy is -2.9523 eV per atom. As for the magnetic moment: 1.0 μB/f.u. Its excess energy over the best structure of this formula in the dataset is 0 meV/atom.

It has space group Cmc2_1 (No. 36), with a = 13.7600 Å, b = 16.6055 Å, c = 8.4237 Å, α = 90.00°, β = 90.00° and γ = 90.00°. The asymmetric unit holds Rb at (0.0000, 0.0691, 0.0000), Rb at (0.2013, 0.4035, 0.0860), Ge at (0.0000, 0.3119, 0.6705), Br at (0.0000, 0.3130, 0.3715), Br at (0.0000, 0.4507, 0.7868), Br at (0.1416, 0.2423, 0.7929) and Br at (0.1684, 0.0352, 0.2844).